Compound: DyNiAg2F6
Source: Alexandria via LeMat-Bulk
Functional: GGA+U
Structure: relaxed

Cell lengths 5.521, 5.627, 5.760 Å; angles 70.69, 88.21, 76.70 degrees
Space group P-1 (No. 2)
One atom of each set of equivalent atoms:
Dy (0.000, 0.000, 0.000)
Ni (0.500, 0.000, 0.500)
Ag (0.383, 0.500, 0.710)
F (0.198, 0.148, 0.660)
F (0.223, 0.616, 0.039)
F (0.299, 0.043, 0.211)

Properties
The calculation puts the raw total energy at -4.66 eV/atom. As for the total magnetization: 1.3 μB/f.u.